[1]
# Ce2Si4MoIr3, relaxed, DFT PBE-GGA
# density of states at the Fermi level = 9.75 states/eV/cell
# ΔE_f (raw) = -840 kJ/mol of formula units
# theoretical density = 10.1 Mg/m³
data_Ce2Si4MoIr3
_space_group_name_H-M_alt 'P 1'
_space_group_IT_number 1
_cell_length_a 4.2232
_cell_length_b 4.2232
_cell_length_c 9.8573
_cell_angle_alpha 90.00
_cell_angle_beta 90.00
_cell_angle_gamma 90.00
loop_
_space_group_symop_operation_xyz
'x,y,z'
loop_
_atom_site_label
_atom_site_type_symbol
_atom_site_fract_x
_atom_site_fract_y
_atom_site_fract_z
Si1 Si 0.5000 0.5000 0.0000
Si2 Si 0.0000 0.5000 0.3684
Si3 Si 0.5000 0.0000 0.6316
Si4 Si 0.0000 0.0000 0.0000
Ir1 Ir 0.5000 0.0000 0.8770
Ir2 Ir 0.0000 0.0000 0.5000
Ir3 Ir 0.0000 0.5000 0.1230
Ce1 Ce 0.0000 0.5000 0.7531
Ce2 Ce 0.5000 0.0000 0.2469
Mo1 Mo 0.5000 0.5000 0.5000

---

[2]
# CeHoMnRu, relaxed, DFT PBE-GGA
# density of states at the Fermi level = 4.10 states/eV/cell
# formation energy from the elements = -0.07 eV/atom
# theoretical density = 9.3 Mg/m³
data_CeHoMnRu
_space_group_name_H-M_alt 'P 1'
_space_group_IT_number 1
_cell_length_a 4.8789
_cell_length_b 4.8789
_cell_length_c 4.8789
_cell_angle_alpha 60.00
_cell_angle_beta 60.00
_cell_angle_gamma 60.00
loop_
_space_group_symop_operation_xyz
'x,y,z'
loop_
_atom_site_label
_atom_site_type_symbol
_atom_site_fract_x
_atom_site_fract_y
_atom_site_fract_z
Ru1 Ru 0.2500 0.2500 0.2500
Ce1 Ce 0.0000 0.0000 0.0000
Ho1 Ho 0.5000 0.5000 0.5000
Mn1 Mn 0.7500 0.7500 0.7500

---

[3]
# In2BrCl, relaxed, DFT PBE-GGA
# density of states at the Fermi level = 0.00 states/eV/cell
# ΔE_f (raw) = -253 kJ/mol of formula units
# energy above the most stable polymorph in this dataset = 78 meV/atom
# theoretical density = 3.9 Mg/m³
data_In2BrCl
_space_group_name_H-M_alt 'P 1'
_space_group_IT_number 1
_cell_length_a 8.3388
_cell_length_b 8.3388
_cell_length_c 7.2493
_cell_angle_alpha 54.89
_cell_angle_beta 54.89
_cell_angle_gamma 90.00
loop_
_space_group_symop_operation_xyz
'x,y,z'
loop_
_atom_site_label
_atom_site_type_symbol
_atom_site_fract_x
_atom_site_fract_y
_atom_site_fract_z
Cl1 Cl 0.5000 0.5000 0.0000
Cl2 Cl 0.2500 0.7500 0.5000
Br1 Br 0.0000 0.0000 0.0000
Br2 Br 0.7500 0.2500 0.5000
In1 In 0.6108 0.1250 0.2500
In2 In 0.8750 0.8608 0.7500
In3 In 0.1392 0.6250 0.2500
In4 In 0.3750 0.3892 0.7500

---

[4]
# LiBiO2, relaxed, DFT PBE-GGA
# density of states at the Fermi level = 0.00 states/eV/cell
# ΔE_f (raw) = -559 kJ/mol of formula units
# theoretical density = 6.6 Mg/m³
data_LiBiO2
_space_group_name_H-M_alt 'P 1'
_space_group_IT_number 1
_cell_length_a 5.5668
_cell_length_b 6.8779
_cell_length_c 6.5163
_cell_angle_alpha 90.00
_cell_angle_beta 90.00
_cell_angle_gamma 90.00
loop_
_space_group_symop_operation_xyz
'x,y,z'
loop_
_atom_site_label
_atom_site_type_symbol
_atom_site_fract_x
_atom_site_fract_y
_atom_site_fract_z
O1 O 0.6972 0.4162 0.6299
O2 O 0.1972 0.0838 0.1299
O3 O 0.7281 0.4758 0.1317
O4 O 0.1972 0.5838 0.3701
O5 O 0.7281 0.9758 0.3683
O6 O 0.2281 0.0242 0.6317
O7 O 0.6972 0.9162 0.8701
O8 O 0.2281 0.5242 0.8683
Li1 Li 0.3968 0.0417 0.3704
Li2 Li 0.8968 0.9583 0.6296
Li3 Li 0.3968 0.5417 0.1296
Li4 Li 0.8968 0.4583 0.8704
Bi1 Bi 0.4277 0.6647 0.6322
Bi2 Bi 0.4277 0.1647 0.8678
Bi3 Bi 0.9277 0.3353 0.3678
Bi4 Bi 0.9277 0.8353 0.1322

---

[5]
# La2ZrCl, relaxed, DFT PBE-GGA
# density of states at the Fermi level = 5.81 states/eV/cell
# ΔE_f (raw) = 2 kJ/mol of formula units
# energy above the most stable polymorph in this dataset = 584 meV/atom
# theoretical density = 5.8 Mg/m³
data_La2ZrCl
_space_group_name_H-M_alt 'P 1'
_space_group_IT_number 1
_cell_length_a 5.4770
_cell_length_b 5.4770
_cell_length_c 5.4770
_cell_angle_alpha 60.00
_cell_angle_beta 60.00
_cell_angle_gamma 60.00
loop_
_space_group_symop_operation_xyz
'x,y,z'
loop_
_atom_site_label
_atom_site_type_symbol
_atom_site_fract_x
_atom_site_fract_y
_atom_site_fract_z
La1 La 0.7500 0.7500 0.7500
La2 La 0.2500 0.2500 0.2500
Cl1 Cl 0.0000 0.0000 0.0000
Zr1 Zr 0.5000 0.5000 0.5000

---

[6]
# LiNdLuCu, relaxed, DFT PBE-GGA
# density of states at the Fermi level = 4.25 states/eV/cell
# formation energy from the elements = -0.02 eV/atom
# theoretical density = 7.1 Mg/m³
data_LiNdLuCu
_space_group_name_H-M_alt 'P 1'
_space_group_IT_number 1
_cell_length_a 5.0615
_cell_length_b 5.0615
_cell_length_c 5.0615
_cell_angle_alpha 60.00
_cell_angle_beta 60.00
_cell_angle_gamma 60.00
loop_
_space_group_symop_operation_xyz
'x,y,z'
loop_
_atom_site_label
_atom_site_type_symbol
_atom_site_fract_x
_atom_site_fract_y
_atom_site_fract_z
Nd1 Nd 0.5000 0.5000 0.5000
Cu1 Cu 0.7500 0.7500 0.7500
Li1 Li 0.2500 0.2500 0.2500
Lu1 Lu 0.0000 0.0000 0.0000

---

[7]
# Mn2TlAu2, relaxed, DFT PBE-GGA
# density of states at the Fermi level = 4.04 states/eV/cell
# formation energy from the elements = 0.13 eV/atom
# energy above the most stable polymorph in this dataset = 33 meV/atom
# theoretical density = 12.3 Mg/m³
data_Mn2TlAu2
_space_group_name_H-M_alt 'P 1'
_space_group_IT_number 1
_cell_length_a 7.7250
_cell_length_b 7.7250
_cell_length_c 3.2013
_cell_angle_alpha 90.00
_cell_angle_beta 90.00
_cell_angle_gamma 90.00
loop_
_space_group_symop_operation_xyz
'x,y,z'
loop_
_atom_site_label
_atom_site_type_symbol
_atom_site_fract_x
_atom_site_fract_y
_atom_site_fract_z
Au1 Au 0.1437 0.6437 0.5000
Au2 Au 0.8563 0.3563 0.5000
Au3 Au 0.6437 0.8563 0.5000
Au4 Au 0.3563 0.1437 0.5000
Mn1 Mn 0.6472 0.1472 0.0000
Mn2 Mn 0.8528 0.6472 0.0000
Mn3 Mn 0.3528 0.8528 0.0000
Mn4 Mn 0.1472 0.3528 0.0000
Tl1 Tl 0.5000 0.5000 0.0000
Tl2 Tl 0.0000 0.0000 0.0000

---

[8]
# BaLa2Se, relaxed, DFT PBE-GGA
# density of states at the Fermi level = 4.23 states/eV/cell
# ΔE_f (raw) = -282 kJ/mol of formula units
# theoretical density = 5.6 Mg/m³
data_BaLa2Se
_space_group_name_H-M_alt 'P 1'
_space_group_IT_number 1
_cell_length_a 6.7488
_cell_length_b 6.7488
_cell_length_c 6.9857
_cell_angle_alpha 57.17
_cell_angle_beta 57.17
_cell_angle_gamma 34.14
loop_
_space_group_symop_operation_xyz
'x,y,z'
loop_
_atom_site_label
_atom_site_type_symbol
_atom_site_fract_x
_atom_site_fract_y
_atom_site_fract_z
Se1 Se 0.4704 0.4704 0.6966
La1 La 0.8234 0.8234 0.6002
La2 La 0.0152 0.0152 0.9684
Ba1 Ba 0.1911 0.1911 0.2347

---

The highest density of states at the Fermi level belongs to which entry? Ce2Si4MoIr3

---

Which formula does entry 6 have? LiNdLuCu